No. 1
A relaxed KSr2NbMo crystal. Source: Alexandria, functional PBE.

Lattice parameters (Å, degrees): 6.4688 6.4688 4.7098 90.00 90.00 90.00
Sites, in units of the cell vectors:
K (0.0000, 0.0000, 0.0000)
Sr (0.0000, 0.5000, 0.5000)
Sr (0.5000, 0.0000, 0.5000)
Nb (0.5000, 0.5000, 0.5000)
Mo (0.5000, 0.5000, 0.0000)

- Calculated formation energy: 0.926 eV per atom
- Total magnetization: 0.0 μB/f.u.
- Electronic total energy: -4.146 eV per atom

=====

No. 2
A relaxed KTiNbMo2 crystal. Source: Alexandria, functional PBE.

Lattice parameters (Å, degrees): 4.5577 4.5577 4.5464 90.00 90.00 90.00
Sites, in units of the cell vectors:
K (0.0000, 0.0000, 0.0000)
Ti (0.5000, 0.5000, 0.5000)
Nb (0.0000, 0.0000, 0.5000)
Mo (0.0000, 0.5000, 0.0000)
Mo (0.5000, 0.0000, 0.0000)

- Calculated formation energy: 2.744 eV per atom
- Total magnetization: 0.0 μB/f.u.
- Electronic total energy: -5.401 eV per atom

=====

No. 3
A relaxed KNbV2Mo crystal. Source: Alexandria, functional PBE.

Lattice parameters (Å, degrees): 4.5761 4.5761 5.0784 90.00 90.00 90.00
Sites, in units of the cell vectors:
K (0.0000, 0.0000, 0.0000)
Nb (0.5000, 0.5000, 0.0000)
V (0.0000, 0.5000, 0.5000)
V (0.5000, 0.0000, 0.5000)
Mo (0.0000, 0.0000, 0.5000)

- Calculated formation energy: 1.994 eV per atom
- Total magnetization: 0.0 μB/f.u.
- Electronic total energy: -6.053 eV per atom

=====

Look up the calculated formation energy of the third one.
1.994 eV per atom

=====

Which formula does entry 3 have?
KNbV2Mo

=====

What is the formula in the third record?
KNbV2Mo

=====

Among the records above, which one has the highest calculated formation energy?
KTiNbMo2